This record from Alexandria describes a relaxed ScW3O crystal. The functional is PBE+U.

```
ScW3O
1.0
-3.266 3.212 -2.121
-3.102 -3.843 -1.042
-2.278 0.629 4.460
Sc O W
1 1 3
Direct
0.000 0.000 0.000
0.500 0.500 0.500
0.000 0.500 0.000
0.000 0.000 0.500
0.500 0.000 0.000
```

Results
The calculation puts the volume at 129 Å³/f.u. As for the energy above the lowest structure with this stoichiometry: 2.410 eV/atom. The value obtained for the size of the total moment is 8.57 μB/f.u.